1.
## Pr2Al4Ni3Pt (PBE)

Data for a relaxed structure of Pr2Al4Ni3Pt.

The structure in POSCAR format:
```
Pr2Al4Ni3Pt
1.0
4.1780 0.0000 0.0000
0.0000 4.1780 0.0000
0.0000 0.0000 10.2866
Pr Al Ni Pt
2 4 3 1
direct
0.0000 0.5000 0.2458
0.5000 0.0000 0.7542
0.0000 0.0000 0.0000
0.0000 0.5000 0.6298
0.5000 0.0000 0.3702
0.5000 0.5000 0.0000
0.0000 0.5000 0.8700
0.5000 0.0000 0.1300
0.5000 0.5000 0.5000
0.0000 0.0000 0.5000
```

Output
DFT total energy = -0.401 Ry per atom
Density of states at the Fermi level = 1.0964 states/eV per atom
Magnetization = 0.000 μB/f.u.
Energy relative to the elements = -670.8 meV/atom
Crystal system = tetragonal
Space group = P-4m2, No. 115

2.
## PrNd2Cu (PBE)

Data for a relaxed structure of PrNd2Cu.

The structure in POSCAR format:
```
PrNd2Cu
1.0
1.8769 1.0836 10.1443
-1.8769 1.0836 10.1443
0.0000 -2.1673 10.1443
Pr Nd Cu
1 2 1
direct
0.0000 0.0000 0.0000
0.5668 0.5668 0.5668
0.7670 0.7670 0.7670
0.1668 0.1668 0.1668
```

Output
DFT total energy = -0.334 Ry per atom
Energy above the most stable polymorph in this dataset = 0.118 eV/atom
Density of states at the Fermi level = 1.2545 states/eV per atom
Magnetization = 0.000 μB/f.u.
Energy relative to the elements = 62.2 meV/atom
Crystal system = trigonal
Space group = R3m, No. 160

3.
## NbMoSeN2 (PBE)

Data for a relaxed structure of NbMoSeN2.

The structure in POSCAR format:
```
NbMoSeN2
1.0
4.0174 0.0000 0.0000
0.0000 4.0174 0.0000
0.0000 0.0000 5.3884
Nb Mo Se N
1 1 1 2
direct
0.0000 0.0000 0.0000
0.5000 0.5000 0.5000
0.0000 0.0000 0.5000
0.0000 0.5000 0.0000
0.5000 0.0000 0.0000
```

Output
DFT total energy = -0.553 Ry per atom
Formation energy (no corrections) = 0.680 eV/atom
Energy above the most stable polymorph in this dataset = 0.041 eV/atom
Density of states at the Fermi level = 0.4164 states/eV per atom
Magnetization = 3.346 μB/f.u.
Crystal system = tetragonal
Space group = P4/mmm, No. 123

4.
## Li2AgSn4 (PBE)

Data for a relaxed structure of Li2AgSn4.

The structure in POSCAR format:
```
Li2AgSn4
1.0
0.0000 7.0053 7.0053
7.0053 0.0000 7.0053
7.0053 7.0053 0.0000
Li Ag Sn
8 4 16
direct
0.1287 0.7904 0.7904
0.2096 0.2096 0.2096
0.2096 0.2096 0.8713
0.2096 0.8713 0.2096
0.7904 0.1287 0.7904
0.7904 0.7904 0.1287
0.7904 0.7904 0.7904
0.8713 0.2096 0.2096
0.0000 0.5000 0.5000
0.5000 0.0000 0.5000
0.5000 0.5000 0.0000
0.5000 0.5000 0.5000
0.0000 0.0000 0.0000
0.0000 0.0000 0.5000
0.0000 0.5000 0.0000
0.1457 0.1457 0.6043
0.1457 0.6043 0.1457
0.1457 0.6043 0.6043
0.3957 0.3957 0.8543
0.3957 0.8543 0.3957
0.3957 0.8543 0.8543
0.5000 0.0000 0.0000
0.6043 0.1457 0.1457
0.6043 0.1457 0.6043
0.6043 0.6043 0.1457
0.8543 0.3957 0.3957
0.8543 0.3957 0.8543
0.8543 0.8543 0.3957
```

Output
DFT total energy = -0.246 Ry per atom
Energy above the most stable polymorph in this dataset = 0.000 eV/atom
Density of states at the Fermi level = 0.5950 states/eV per atom
Magnetization = 0.000 μB/f.u.
Energy relative to the elements = -107.5 meV/atom
Crystal system = cubic
Space group = Fd-3m, No. 227

- Among the records above, which one has the highest magnetization?
  NbMoSeN2